Entry 1:
Compound: Mn2Si3Tc2
Source: Alexandria
Functional: PBE
Structure: optimized geometry

As for the density of states at the Fermi level: 4.36 states/eV/cell. Its formation energy without anion corrections is -195 meV per atom. The calculation puts the total energy at -8.100 eV per atom. The total magnetization comes out at 0.809 μB/atom.

Cell: 4.1280 4.1280 6.9634 Å, 107.25 107.25 59.99°
Fractional positions:
Mn (0.1280, 0.1280, 0.3851)
Mn (0.8720, 0.8720, 0.6149)
Si (0.0000, 0.0000, 0.0000)
Si (0.2505, 0.2505, 0.7502)
Si (0.7495, 0.7495, 0.2498)
Tc (0.3783, 0.3783, 0.1349)
Tc (0.6217, 0.6217, 0.8651)

Entry 2:
Compound: La2H12Rh3Au
Source: Alexandria
Functional: PBE
Structure: optimized geometry

As for the density of states at the Fermi level: 6.01 states/eV/cell. The calculation puts the total energy at -4.433 eV per atom. The total magnetization comes out at 0.000 μB/atom.

Cell: 6.2115 6.2115 6.2115 Å, 60.48 60.48 60.48°
Fractional positions:
La (0.1175, 0.1175, 0.1175)
La (0.8825, 0.8825, 0.8825)
H (0.1203, 0.6088, 0.6088)
H (0.1699, 0.1699, 0.6325)
H (0.1699, 0.6325, 0.1699)
H (0.3675, 0.8301, 0.8301)
H (0.3912, 0.3912, 0.8797)
H (0.3912, 0.8797, 0.3912)
H (0.6088, 0.1203, 0.6088)
H (0.6088, 0.6088, 0.1203)
H (0.6325, 0.1699, 0.1699)
H (0.8301, 0.3675, 0.8301)
H (0.8301, 0.8301, 0.3675)
H (0.8797, 0.3912, 0.3912)
Rh (0.0000, 0.5000, 0.5000)
Rh (0.5000, 0.0000, 0.5000)
Rh (0.5000, 0.5000, 0.0000)
Au (0.5000, 0.5000, 0.5000)

Entry 3:
Compound: LaTiTc2Hg
Source: Alexandria
Functional: PBE
Structure: optimized geometry

For the formation energy from the elements, the calculation gives 1.774 eV per atom. As for the density of states at the Fermi level: 7.46 states/eV/cell. The calculation puts the total energy at -4.997 eV per atom. The total magnetization comes out at 0.021 μB/atom.

Cell: 4.7371 4.7371 5.6126 Å, 90.00 90.00 90.00°
Fractional positions:
La (0.0000, 0.0000, 0.0000)
Ti (0.5000, 0.5000, 0.5000)
Tc (0.0000, 0.5000, 0.0000)
Tc (0.5000, 0.0000, 0.0000)
Hg (0.0000, 0.0000, 0.5000)

What is the density of states at the Fermi level in the third record? 7.46 states/eV/cell